No. 1
Computed, not measured: a geometry-optimized NaPb4O8 structure at the GGA-PBE level of DFT.

Properties
space group = C2/m (12)
formation energy from raw total energies = -88.8 kJ/mol of atoms

a b c (Å): 6.7689 6.7689 7.9892
angles (deg): 125.37 125.37 60.69
Sites, in units of the cell vectors:
Na  0.0000  0.0000  0.0000
Pb  0.2489  0.7511  0.5000
Pb  0.2777  0.2777  0.9960
Pb  0.7223  0.7223  0.0040
Pb  0.7511  0.2489  0.5000
O  0.1471  0.6899  0.1471
O  0.1702  0.1702  0.6399
O  0.3101  0.8529  0.8529
O  0.3315  0.3315  0.3285
O  0.6685  0.6685  0.6715
O  0.6899  0.1471  0.1471
O  0.8298  0.8298  0.3601
O  0.8529  0.3101  0.8529



No. 2
Computed, not measured: a geometry-optimized NaNd5Te8 structure at the GGA-PBE level of DFT.

Properties
space group = I-4 (82)
formation energy from raw total energies = -136.3 kJ/mol of atoms

a b c (Å): 8.2914 8.2914 8.2914
angles (deg): 109.65 109.65 109.11
Sites, in units of the cell vectors:
Na  0.0000  0.0000  0.0000
Nd  0.2449  0.1173  0.6189
Nd  0.3740  0.7551  0.8724
Nd  0.4984  0.6260  0.3811
Nd  0.7500  0.2500  0.5000
Nd  0.8827  0.5016  0.1276
Te  0.1233  0.3719  0.4023
Te  0.1314  0.3845  0.8970
Te  0.2790  0.8767  0.2486
Te  0.4874  0.2343  0.1030
Te  0.6155  0.5126  0.7469
Te  0.6281  0.0304  0.7514
Te  0.7657  0.8686  0.2531
Te  0.9696  0.7210  0.5977



No. 3
Computed, not measured: a geometry-optimized Zr4PtW structure at the GGA-PBE level of DFT.

Properties
space group = F-43m (216)
formation energy from the elements = 0.479 eV per atom

a b c (Å): 5.5544 5.5544 5.5544
angles (deg): 60.00 60.00 60.00
Sites, in units of the cell vectors:
Zr  0.1255  0.1255  0.1255
Zr  0.1255  0.1255  0.6236
Zr  0.1255  0.6236  0.1255
Zr  0.6236  0.1255  0.1255
Pt  0.7500  0.7500  0.7500
W  0.5000  0.5000  0.5000